[1]
Computed, not measured: crystalline AcGaSe4 at its relaxed geometry at the PBE level of DFT.

Calculated values
- ΔE_f (raw): -21.5 kcal/mol of atoms

Cell lengths 6.346, 8.711, 6.505 Å; angles 90.00, 104.65, 90.00 degrees
Space group P2_1/m (No. 11)
Symmetry-distinct sites (fractional):
Ac  0.163  0.250  0.473 x2
Ga  0.381  0.750  0.037 x2
Se  0.201  0.537  0.814 x4
Se  0.221  0.250  0.959 x2
Se  0.339  0.750  0.390 x2


[2]
Computed, not measured: crystalline Ac5GaSe4 at its relaxed geometry at the PBE level of DFT.

Calculated values
- ΔE_f (raw): -37.4 kcal/mol of atoms

Cell lengths 10.127, 10.127, 6.360 Å; angles 90.00, 90.00, 90.00 degrees
Space group I4/m (No. 87)
Symmetry-distinct sites (fractional):
Ac  0.000  0.000  0.000 x2
Ac  0.099  0.703  0.500 x8
Ga  0.000  0.000  0.500 x2
Se  0.100  0.698  0.000 x8


[3]
Computed, not measured: crystalline Ac2GaSe5 at its relaxed geometry at the PBE level of DFT.

Calculated values
- ΔE_f (raw): -28.3 kcal/mol of atoms

Cell lengths 7.346, 7.346, 8.380 Å; angles 90.00, 90.00, 90.00 degrees
Space group I4mm (No. 107)
Symmetry-distinct sites (fractional):
Ac  0.000  0.500  0.000 x4
Ga  0.000  0.000  0.310 x2
Se  0.000  0.000  0.598 x2
Se  0.238  0.238  0.242 x8


[4]
Computed, not measured: crystalline Ac3Ga2Se8 at its relaxed geometry at the PBE level of DFT.

Calculated values
- ΔE_f (raw): -28.1 kcal/mol of atoms

Cell lengths 7.0184, 7.0184, 26.2920 Å; angles 90.00, 90.00, 120.00 degrees
Space group R-3m (No. 166, hexagonal axes)
Symmetry-distinct sites (fractional):
Ac  0.0000  0.0000  0.0000 x3
Ac  0.0000  0.0000  0.2072 x6
Ga  0.0000  0.0000  0.4077 x6
Se  0.0000  0.0000  0.3178 x6
Se  0.0344  0.5172  0.7710 x18


[5]
Computed, not measured: crystalline Ac2GaSe6 at its relaxed geometry at the PBE level of DFT.

Calculated values
- ΔE_f (raw): -27.7 kcal/mol of atoms

Cell lengths 11.860, 5.774, 8.284 Å; angles 90.00, 118.71, 90.00 degrees
Space group C2/m (No. 12)
Symmetry-distinct sites (fractional):
Ac  0.209  0.000  0.209 x4
Ga  0.000  0.000  0.500 x2
Se  0.051  0.263  0.817 x8
Se  0.229  0.000  0.612 x4


[6]
Computed, not measured: crystalline Ac6GaSe5 at its relaxed geometry at the PBE level of DFT.

Calculated values
- ΔE_f (raw): -38.2 kcal/mol of atoms

Cell lengths 7.827, 13.541, 7.818 Å; angles 90.00, 109.39, 90.00 degrees
Space group C2/m (No. 12)
Symmetry-distinct sites (fractional):
Ac  0.246  0.000  0.254 x4
Ac  0.246  0.164  0.746 x8
Ga  0.000  0.000  0.500 x2
Se  0.000  0.168  0.000 x4
Se  0.000  0.333  0.500 x4
Se  0.000  0.500  0.000 x2


| no. | total moment (μB per atom) |
| --- | --- |
| 1 | 0.00 |
| 2 | 0.00 |
| 3 | 0.00 |
| 4 | 0.00 |
| 5 | 0.00 |
| 6 | 0.00 |